Entry 1:
# Li2AcPrSi2

A geometry-optimized Li2AcPrSi2 structure (PBE, Alexandria via LeMat-Bulk).

Results
Fermi-level density of states, states/eV per cell: 1.2
Space group: P-3m1
Final energy, eV/atom: -4.4227

a b c (Å): 4.568 4.568 7.886
angles (deg): 90.00 90.00 120.00
Element x y z (fractional)
Li (0.333, 0.667, 0.212)
Li (0.667, 0.333, 0.788)
Ac (0.000, 0.000, 0.500)
Pr (0.000, 0.000, 0.000)
Si (0.333, 0.667, 0.769)
Si (0.667, 0.333, 0.231)



Entry 2:
# Ir3Pd

A geometry-optimized Ir3Pd structure (PBE, Alexandria via LeMat-Bulk).

Results
Fermi-level density of states, states/eV per cell: 6.0
Space group: Pmm2
Final energy, eV/atom: -7.7740
Energy of formation from the pure elements, eV/atom: 0.170

a b c (Å): 2.760 4.481 4.765
angles (deg): 90.00 90.00 90.00
Element x y z (fractional)
Ir (0.000, 0.000, 0.000)
Ir (0.000, 0.500, 0.328)
Ir (0.500, 0.000, 0.494)
Pd (0.500, 0.500, 0.826)



Entry 3:
# Ac2La3PmSb6

A geometry-optimized Ac2La3PmSb6 structure (PBE, Alexandria via LeMat-Bulk).

Results
Fermi-level density of states, states/eV per cell: 1.4
Space group: C2/m
Final energy, eV/atom: -5.6042

a b c (Å): 8.083 8.083 8.079
angles (deg): 99.61 99.61 119.99
Element x y z (fractional)
Ac (0.166, 0.834, 0.000)
Ac (0.834, 0.166, 0.000)
La (0.000, 0.000, 0.500)
La (0.331, 0.669, 0.500)
La (0.669, 0.331, 0.500)
Pm (0.500, 0.500, 0.000)
Sb (0.091, 0.416, 0.746)
Sb (0.262, 0.262, 0.256)
Sb (0.416, 0.091, 0.746)
Sb (0.584, 0.909, 0.254)
Sb (0.738, 0.738, 0.744)
Sb (0.909, 0.584, 0.254)



Entry 4:
# BaHCl3

A geometry-optimized BaHCl3 structure (PBE, Alexandria via LeMat-Bulk).

Results
Energy above the most stable polymorph in this dataset, meV per atom: 0.0
Fermi-level density of states, states/eV per cell: 0.0
Space group: P2_1/c
Final energy, eV/atom: -3.8655

a b c (Å): 7.027 8.573 11.167
angles (deg): 90.00 125.01 90.00
Element x y z (fractional)
Ba (0.163, 0.131, 0.236)
Ba (0.163, 0.369, 0.736)
Ba (0.837, 0.631, 0.264)
Ba (0.837, 0.869, 0.764)
H (0.286, 0.556, 0.109)
H (0.286, 0.944, 0.609)
H (0.714, 0.056, 0.391)
H (0.714, 0.444, 0.891)
Cl (0.103, 0.163, 0.939)
Cl (0.103, 0.337, 0.439)
Cl (0.287, 0.649, 0.964)
Cl (0.287, 0.851, 0.464)
Cl (0.347, 0.003, 0.744)
Cl (0.347, 0.497, 0.244)
Cl (0.653, 0.503, 0.756)
Cl (0.653, 0.997, 0.256)
Cl (0.713, 0.149, 0.536)
Cl (0.713, 0.351, 0.036)
Cl (0.897, 0.663, 0.561)
Cl (0.897, 0.837, 0.061)